(1)
Computed, not measured: KBaHgMo2 after structural relaxation at the PBE-GGA level of DFT.

The structure in POSCAR format:
```
KBaHgMo2
1.0
-4.954 -0.397 -3.230
-1.643 -4.630 3.089
-2.788 3.551 3.840
K Mo Hg Ba
1 2 1 1
Direct
0.000 0.000 0.000
0.000 0.000 0.500
0.500 0.000 0.000
0.000 0.500 0.000
0.500 0.500 0.500
```

D(E_F): 1.03 states/eV/atom
Crystal system: tetragonal
Formation enthalpy at 0 K: 2.010 eV/atom
Volume: 40.8 A^3/atom



(2)
Computed, not measured: CdCS2 after structural relaxation at the PBE-GGA level of DFT.

The structure in POSCAR format:
```
CdCS2
1.0
0.000 3.190 3.190
3.190 0.000 3.190
3.190 3.190 0.000
S C Cd
2 1 1
Direct
0.250 0.250 0.250
0.750 0.750 0.750
0.000 0.000 0.000
0.500 0.500 0.500
```

D(E_F): 0.48 states/eV/atom
Relative energy among the computed polymorphs: 1.265 eV/atom
Formation energy from raw total energies: 1.630 eV per atom
Crystal system: cubic
Volume: 16.2 A^3/atom



(3)
Computed, not measured: Tm8Mg2Pd after structural relaxation at the PBE-GGA level of DFT.

The structure in POSCAR format:
```
Tm8Mg2Pd
1.0
-1.500 -2.599 4.488
-1.797 -5.548 -3.814
8.984 0.801 0.219
Tm Mg Pd
8 2 1
Direct
0.399 0.580 0.799
0.650 0.934 0.300
0.807 0.744 0.615
0.984 0.227 0.967
0.193 0.256 0.385
0.350 0.066 0.700
0.601 0.420 0.201
0.016 0.773 0.033
0.816 0.308 0.633
0.184 0.692 0.367
0.500 0.000 0.000
```

D(E_F): 0.95 states/eV/atom
Crystal system: monoclinic
Formation enthalpy at 0 K: -0.111 eV/atom
Volume: 27.5 A^3/atom



(4)
Computed, not measured: CuAu2N after structural relaxation at the PBE-GGA level of DFT.

The structure in POSCAR format:
```
CuAu2N
1.0
-0.211 -2.497 4.260
-3.554 -2.883 -1.866
2.362 -6.581 -0.875
Au Cu N
4 2 2
Direct
0.506 0.125 0.250
0.244 0.625 0.250
0.375 0.494 0.750
0.875 0.756 0.750
0.000 0.000 0.000
0.750 0.250 0.500
0.500 0.500 0.000
0.250 0.750 0.500
```

D(E_F): 0.02 states/eV/atom
Formation energy from raw total energies: 0.963 eV per atom
Crystal system: tetragonal
Volume: 18.7 A^3/atom



(5)
Computed, not measured: AcSi3H12 after structural relaxation at the PBE-GGA level of DFT.

The structure in POSCAR format:
```
AcSi3H12
1.0
6.188 0.000 2.988
2.373 5.715 2.988
-1.032 -0.689 10.039
Ac Si H
2 6 24
Direct
0.067 0.067 0.799
0.567 0.567 0.299
0.644 0.421 0.009
0.144 0.426 0.509
0.921 0.144 0.509
0.421 0.926 0.009
0.926 0.644 0.009
0.426 0.921 0.509
0.156 0.057 0.020
0.019 0.442 0.674
0.986 0.951 0.441
0.820 0.459 0.861
0.320 0.360 0.361
0.486 0.123 0.941
0.519 0.365 0.174
0.951 0.623 0.441
0.656 0.267 0.520
0.865 0.019 0.674
0.959 0.320 0.361
0.267 0.557 0.520
0.123 0.451 0.941
0.767 0.156 0.020
0.459 0.860 0.861
0.365 0.942 0.174
0.942 0.519 0.174
0.451 0.486 0.941
0.557 0.656 0.520
0.860 0.820 0.861
0.360 0.959 0.361
0.057 0.767 0.020
0.442 0.865 0.674
0.623 0.986 0.441
```

D(E_F): 0.23 states/eV/atom
E_tot: -3.7125 eV per atom
Crystal system: trigonal
Volume: 11.9 A^3/atom



(6)
Computed, not measured: Na3Y3PuSe8 after structural relaxation at the PBE-GGA level of DFT.

The structure in POSCAR format:
```
Na3Y3PuSe8
1.0
-6.470 -5.180 -0.041
7.618 -2.873 -1.547
-1.990 2.423 7.914
Na Y Pu Se
3 3 1 8
Direct
0.000 0.000 0.000
0.000 0.500 0.000
0.500 0.500 0.000
0.500 0.000 0.500
0.500 0.500 0.500
0.000 0.500 0.500
0.000 0.000 0.500
0.257 0.513 0.270
0.743 0.487 0.730
0.760 0.521 0.275
0.240 0.479 0.725
0.760 0.015 0.275
0.240 0.985 0.725
0.255 0.015 0.275
0.745 0.985 0.725
```

D(E_F): 0.81 states/eV/atom
Formation energy from raw total energies: -1.599 eV per atom
Crystal system: trigonal
Volume: 27.9 A^3/atom



(7)
Computed, not measured: Ni3MoSe after structural relaxation at the PBE-GGA level of DFT.

The structure in POSCAR format:
```
Ni3MoSe
1.0
-3.014 2.072 -2.289
-0.355 -3.409 -2.620
-3.067 -1.642 2.552
Ni Mo Se
3 1 1
Direct
0.000 0.500 0.000
0.000 0.000 0.500
0.500 0.000 0.000
0.500 0.500 0.500
0.000 0.000 0.000
```

D(E_F): 1.04 states/eV/atom
Relative energy among the computed polymorphs: 0.000 eV/atom
Formation energy from raw total energies: 0.791 eV per atom
Crystal system: cubic
Volume: 16.1 A^3/atom



(8)
Computed, not measured: SnBi2PdPb after structural relaxation at the PBE-GGA level of DFT.

The structure in POSCAR format:
```
SnBi2PdPb
1.0
4.140 0.000 0.000
0.000 4.140 0.000
0.000 0.000 16.530
Sn Bi Pd Pb
2 4 2 2
Direct
0.000 0.000 0.500
0.500 0.500 0.500
0.000 0.500 0.773
0.000 0.500 0.109
0.500 0.000 0.891
0.500 0.000 0.227
0.500 0.000 0.057
0.000 0.500 0.943
0.500 0.000 0.667
0.000 0.500 0.333
```

D(E_F): 0.65 states/eV/atom
Crystal system: tetragonal
Formation enthalpy at 0 K: -0.002 eV/atom
Volume: 28.3 A^3/atom



(9)
Computed, not measured: DyTm5N6 after structural relaxation at the PBE-GGA level of DFT.

The structure in POSCAR format:
```
DyTm5N6
1.0
-0.001 -1.901 -5.600
4.752 -3.396 -0.928
-0.304 -5.832 0.940
N Tm Dy
6 5 1
Direct
0.749 0.084 0.336
0.251 0.580 0.336
0.251 0.252 0.000
0.749 0.748 0.000
0.749 0.420 0.664
0.251 0.916 0.664
0.500 0.167 0.666
0.000 0.333 0.333
0.500 0.500 0.000
0.000 0.667 0.667
0.500 0.833 0.334
0.000 0.000 0.000
```

D(E_F): 0.02 states/eV/atom
Formation energy from raw total energies: -1.807 eV per atom
Crystal system: monoclinic
Volume: 14.1 A^3/atom



(10)
Computed, not measured: TiZn2Se after structural relaxation at the PBE-GGA level of DFT.

The structure in POSCAR format:
```
TiZn2Se
1.0
7.541 0.000 0.000
0.000 7.541 0.000
3.770 3.770 2.524
Zn Se Ti
4 2 2
Direct
0.641 0.125 0.250
0.109 0.625 0.250
0.375 0.359 0.750
0.875 0.891 0.750
0.000 0.000 0.000
0.750 0.250 0.500
0.500 0.500 0.000
0.250 0.750 0.500
```

D(E_F): 0.78 states/eV/atom
Formation energy from raw total energies: -0.099 eV per atom
Crystal system: tetragonal
Volume: 17.9 A^3/atom



(11)
Computed, not measured: Tb5Y3Er2 after structural relaxation at the PBE-GGA level of DFT.

The structure in POSCAR format:
```
Tb5Y3Er2
1.0
8.484 1.701 -4.002
0.339 8.614 -4.063
-1.857 -2.088 10.753
Tb Y Er
10 6 4
Direct
0.270 0.520 0.040
0.730 0.480 0.960
0.031 0.781 0.561
0.531 0.281 0.562
0.969 0.219 0.439
0.469 0.719 0.438
0.853 0.606 0.720
0.147 0.394 0.280
0.367 0.114 0.720
0.633 0.886 0.280
0.233 0.983 0.966
0.767 0.017 0.034
0.735 0.480 0.259
0.265 0.520 0.741
0.025 0.780 0.259
0.975 0.220 0.741
0.770 0.015 0.736
0.230 0.985 0.264
0.466 0.721 0.736
0.534 0.279 0.264
```

D(E_F): 1.79 states/eV/atom
Relative energy among the computed polymorphs: 0.000 eV/atom
Crystal system: monoclinic
Formation enthalpy at 0 K: 0.202 eV/atom
Volume: 33.0 A^3/atom



(12)
Computed, not measured: Li2Zn6Ru after structural relaxation at the PBE-GGA level of DFT.

The structure in POSCAR format:
```
Li2Zn6Ru
1.0
-2.185 -0.212 -1.389
-1.613 -6.506 3.529
-2.456 6.570 2.860
Li Zn Ru
2 6 1
Direct
0.500 0.667 0.333
0.500 0.333 0.667
0.222 0.000 0.338
0.222 0.662 0.662
0.778 0.000 0.662
0.778 0.662 0.000
0.778 0.338 0.338
0.222 0.338 0.000
0.000 0.000 0.000
```

D(E_F): 0.42 states/eV/atom
Relative energy among the computed polymorphs: 0.114 eV/atom
Crystal system: trigonal
Formation enthalpy at 0 K: -0.015 eV/atom
Volume: 14.3 A^3/atom



(13)
Computed, not measured: BaCaSi2Au5 after structural relaxation at the PBE-GGA level of DFT.

The structure in POSCAR format:
```
BaCaSi2Au5
1.0
-1.134 0.042 4.651
-2.682 -3.917 -0.618
7.766 -5.625 1.944
Ba Ca Si Au
1 1 2 5
Direct
0.000 0.000 0.500
0.000 0.000 0.000
0.500 0.500 0.252
0.500 0.500 0.748
0.000 0.500 0.196
0.500 0.000 0.196
0.000 0.500 0.804
0.500 0.000 0.804
0.500 0.500 0.500
```

D(E_F): 0.30 states/eV/atom
Formation energy from raw total energies: -0.488 eV per atom
Crystal system: tetragonal
Volume: 24.9 A^3/atom



(14)
Computed, not measured: SnBiP2Cl after structural relaxation at the PBE-GGA level of DFT.

The structure in POSCAR format:
```
SnBiP2Cl
1.0
-0.026 4.132 3.319
3.214 -2.627 3.295
4.199 2.021 -2.483
P Cl Bi Sn
2 1 1 1
Direct
0.000 0.500 0.000
0.500 0.000 0.000
0.000 0.000 0.500
0.000 0.000 0.000
0.500 0.500 0.500
```

D(E_F): 0.58 states/eV/atom
Relative energy among the computed polymorphs: 0.125 eV/atom
Formation energy from raw total energies: 0.611 eV per atom
Crystal system: tetragonal
Volume: 29.7 A^3/atom



(15)
Computed, not measured: CsCu2Ge2 after structural relaxation at the PBE-GGA level of DFT.

The structure in POSCAR format:
```
CsCu2Ge2
1.0
4.384 0.000 0.000
0.000 4.384 0.000
2.192 2.192 6.775
Cs Ge Cu
1 2 2
Direct
0.000 0.000 0.000
0.325 0.325 0.349
0.675 0.675 0.651
0.750 0.250 0.500
0.250 0.750 0.500
```

D(E_F): 0.37 states/eV/atom
Crystal system: tetragonal
Formation enthalpy at 0 K: 0.035 eV/atom
Volume: 26.0 A^3/atom



(16)
Computed, not measured: ErHf2UC4 after structural relaxation at the PBE-GGA level of DFT.

The structure in POSCAR format:
```
ErHf2UC4
1.0
3.392 0.000 0.000
0.000 5.913 -0.166
0.000 2.035 5.499
Er Hf U C
1 2 1 4
Direct
0.000 0.500 0.500
0.000 0.000 0.000
0.500 0.000 0.500
0.500 0.500 0.000
0.000 0.762 0.753
0.000 0.238 0.247
0.500 0.757 0.230
0.500 0.243 0.770
```

D(E_F): 0.46 states/eV/atom
Crystal system: monoclinic
Formation enthalpy at 0 K: -0.580 eV/atom
Volume: 13.9 A^3/atom



(17)
Computed, not measured: ScSb2P after structural relaxation at the PBE-GGA level of DFT.

The structure in POSCAR format:
```
ScSb2P
1.0
6.441 0.000 0.000
0.000 6.441 0.000
3.220 3.220 6.269
Sc Sb P
2 4 2
Direct
0.000 0.000 0.000
0.750 0.250 0.500
0.599 0.125 0.250
0.151 0.625 0.250
0.375 0.401 0.750
0.875 0.849 0.750
0.500 0.500 0.000
0.250 0.750 0.500
```

D(E_F): 0.15 states/eV/atom
Formation energy from raw total energies: 0.058 eV per atom
Crystal system: tetragonal
Volume: 32.5 A^3/atom



(18)
Computed, not measured: Tb6Dy5Y after structural relaxation at the PBE-GGA level of DFT.

The structure in POSCAR format:
```
Tb6Dy5Y
1.0
-6.570 -7.606 6.136
3.921 -1.371 4.547
0.008 3.338 5.170
Tb Dy Y
6 5 1
Direct
0.750 0.083 0.334
0.250 0.583 0.334
0.250 0.251 0.000
0.750 0.749 0.000
0.750 0.417 0.666
0.250 0.917 0.666
0.500 0.167 0.667
0.000 0.333 0.333
0.500 0.500 0.000
0.000 0.667 0.667
0.500 0.833 0.333
0.000 0.000 0.000
```

D(E_F): 1.30 states/eV/atom
Crystal system: monoclinic
Formation enthalpy at 0 K: 0.015 eV/atom
Volume: 31.7 A^3/atom



(19)
Computed, not measured: RbBaTl2F8 after structural relaxation at the PBE-GGA level of DFT.

The structure in POSCAR format:
```
RbBaTl2F8
1.0
-3.132 -0.612 5.220
-1.100 -5.865 -1.348
6.913 1.718 0.764
Rb Ba Tl F
1 1 2 8
Direct
0.750 0.250 0.500
0.000 0.000 0.000
0.500 0.500 0.000
0.250 0.750 0.500
0.899 0.839 0.255
0.356 0.416 0.255
0.585 0.644 0.746
0.161 0.102 0.746
0.898 0.415 0.254
0.356 0.839 0.254
0.161 0.644 0.745
0.584 0.101 0.745
```

D(E_F): 0.30 states/eV/atom
Formation energy from raw total energies: -2.451 eV per atom
Crystal system: tetragonal
Volume: 17.8 A^3/atom



(20)
Computed, not measured: AcMgIn2Ag after structural relaxation at the PBE-GGA level of DFT.

The structure in POSCAR format:
```
AcMgIn2Ag
1.0
4.704 0.000 0.000
0.000 4.704 0.000
-2.352 -2.352 6.091
Ac Mg In Ag
1 1 2 1
Direct
0.000 0.000 0.000
0.750 0.250 0.500
0.616 0.616 0.232
0.384 0.384 0.768
0.250 0.750 0.500
```

D(E_F): 0.50 states/eV/atom
Crystal system: tetragonal
Formation enthalpy at 0 K: -0.324 eV/atom
Volume: 27.0 A^3/atom